{
  "formula": "BaW2O6",
  "functional": "PBE with a Hubbard U",
  "state": "relaxed",
  "space_group": "Fd-3m (227)",
  "relative_energy_ev_per_fu": 1.86,
  "mass_density_g_cm3": 7.0,
  "lattice": [[7.388, 0.000, 0.000], [3.694, 6.398, 0.000], [3.694, 2.133, 6.032]],
  "species": ["Ba", "Ba", "W", "W", "W", "W", "O", "O", "O", "O", "O", "O", "O", "O", "O", "O", "O", "O"],
  "frac_coords": [[0.500, 0.500, 0.500], [0.750, 0.750, 0.750], [0.125, 0.125, 0.125], [0.125, 0.625, 0.125], [0.125, 0.125, 0.625], [0.625, 0.125, 0.125], [0.195, 0.195, 0.805], [0.805, 0.805, 0.195], [0.195, 0.805, 0.195], [0.195, 0.805, 0.805], [0.445, 0.445, 0.055], [0.445, 0.055, 0.055], [0.805, 0.195, 0.805], [0.055, 0.055, 0.445], [0.445, 0.055, 0.445], [0.055, 0.445, 0.445], [0.805, 0.195, 0.195], [0.055, 0.445, 0.055]]
}